Compound: AlAg2Br
Source: Alexandria
Functional: PBE-GGA
Structure: relaxed

Calculated values
**Relative energy among the computed polymorphs**: 107 meV per atom
**Density**: 6.49 g/cm³
**E**: -2.69 eV per atom
**Formation energy from raw total energies**: 88.4 meV per atom
**Fermi-level density of states**: 0.281 states/eV per atom
**Space group**: No. 99

Unit cell a=3.2697 b=3.2697 c=7.7231 alpha=90.00 beta=90.00 gamma=90.00
Last column: nearest neighbours and their distance in Å.
Sites, in units of the cell vectors:
Al 0.0000 0.0000 0.0000  4 Ag 2.78, 4 Br 3.02
Ag 0.0000 0.0000 0.5644  8 Ag 2.94-3.27
Ag 0.5000 0.5000 0.7990  4 Al 2.78, 4 Ag 2.94
Br 0.5000 0.5000 0.2518  4 Al 3.02, 4 Br 3.27, 4 Ag 3.34